# 1
Here is a geometry-optimized CaHo2CuSi4O12 structure from the Alexandria database. Energies are from GGA-PBE.

Geometry as POSCAR:
```
CaHo2CuSi4O12
1.0
1.6893 -4.9269 -0.5888
-7.4668 -0.8484 -0.3063
3.9115 1.3283 -6.8397
Si O Ca Ho Cu
4 12 1 2 1
direct
0.5816 0.1970 0.7667
0.5823 0.4300 0.2330
0.4177 0.5700 0.7670
0.4184 0.8030 0.2333
0.6518 0.3304 0.9999
0.6638 0.7347 0.7505
0.1659 0.8947 0.3519
0.1651 0.5434 0.6482
0.3356 0.0158 0.7504
0.6644 0.9842 0.2496
0.3482 0.6696 0.0001
0.5008 0.6553 0.3106
0.4992 0.3447 0.6894
0.8341 0.1053 0.6481
0.3362 0.2653 0.2495
0.8349 0.4566 0.3518
0.5000 0.0000 0.0000
0.0003 0.2131 0.4259
0.9997 0.7869 0.5741
0.0000 0.0000 0.0000
```

As for the space group: P-1, No. 2. Its magnetization is 0.16 μB per cell. As for the density: 4.51 g/cm³. For the raw formation energy, the calculation gives -53.582 eV per formula unit.

---

# 2
Here is a geometry-optimized Ca2Ge4Pd3Au structure from the Alexandria database. Energies are from GGA-PBE.

Geometry as POSCAR:
```
Ca2Ge4Pd3Au
1.0
4.3494 0.0000 0.0000
0.0000 4.3494 0.0000
0.0000 0.0000 10.4198
Ge Pd Au Ca
4 3 1 2
direct
0.5000 0.5000 0.0000
0.0000 0.5000 0.3662
0.5000 0.0000 0.6338
0.0000 0.0000 0.0000
0.0000 0.0000 0.5000
0.5000 0.0000 0.8709
0.0000 0.5000 0.1291
0.5000 0.5000 0.5000
0.5000 0.0000 0.2468
0.0000 0.5000 0.7532
```

As for the space group: P-4m2, No. 115. Its magnetization is 0.00 μB per cell. The energy comes out at -4.753 eV/atom. As for the density: 7.47 g/cm³.

---

# 3
Here is a geometry-optimized Na2ZnPd structure from the Alexandria database. Energies are from GGA-PBE.

Geometry as POSCAR:
```
Na2ZnPd
1.0
2.9451 0.0000 0.0000
1.4726 2.5506 0.0000
1.4726 0.8502 10.6306
Zn Na Pd
1 2 1
direct
0.5000 0.5000 0.5000
0.0844 0.0844 0.7469
0.9156 0.9156 0.2531
0.0000 0.0000 0.0000
```

As for the space group: R-3m, No. 166. Its magnetization is 0.00 μB per cell. The energy comes out at -2.093 eV/atom. As for the density: 4.53 g/cm³.

---

# 4
Here is a geometry-optimized Na2SbPd structure from the Alexandria database. Energies are from GGA-PBE.

Geometry as POSCAR:
```
Na2SbPd
1.0
11.2947 0.0000 0.0000
0.0000 11.2947 0.0000
5.6474 5.6474 2.4839
Pd Na Sb
2 4 2
direct
0.5000 0.5000 0.0000
0.2500 0.7500 0.5000
0.3775 0.1250 0.2500
0.3725 0.6250 0.2500
0.3750 0.6225 0.7500
0.8750 0.6275 0.7500
0.7500 0.2500 0.5000
0.0000 0.0000 0.0000
```

As for the space group: I-42d, No. 122. Its magnetization is 0.00 μB per cell. As for the density: 2.87 g/cm³. For the raw formation energy, the calculation gives -0.803 eV per formula unit.

---

What did the third record say?
Here is a geometry-optimized Na2ZnPd structure from the Alexandria database. Energies are from GGA-PBE.

Geometry as POSCAR:
```
Na2ZnPd
1.0
2.9451 0.0000 0.0000
1.4726 2.5506 0.0000
1.4726 0.8502 10.6306
Zn Na Pd
1 2 1
direct
0.5000 0.5000 0.5000
0.0844 0.0844 0.7469
0.9156 0.9156 0.2531
0.0000 0.0000 0.0000
```

As for the space group: R-3m, No. 166. Its magnetization is 0.00 μB per cell. The energy comes out at -2.093 eV/atom. As for the density: 4.53 g/cm³.

---

What is the formula in the second record? Ca2Ge4Pd3Au

---

Look up the magnetization of the third one. 0.00 μB per cell